Here is a geometry-optimized TbHoAg2Se4 structure from OQMD via LeMat-Bulk. Energies are from PBE.

Cell lengths 9.5471, 9.5638, 4.3144 Å; angles 90.00, 90.00, 90.00 degrees
Last column: nearest neighbours and their distance in Å.
Space group Cmm2 (No. 35)
Asymmetric unit:
Tb 0.0000 0.0000 0.0000 [2 per cell]  6 Se 2.86-2.94
Ho 0.0000 0.5000 0.5921 [2 per cell]  6 Se 2.85-2.93
Ag 0.2500 0.2500 0.7961 [4 per cell]  4 Se 2.72
Se 0.0000 0.2994 0.0795 [4 per cell]  2 Ag 2.72, 2 Ho 2.85-2.93, 1 Tb 2.88
Se 0.2033 0.0000 0.5128 [4 per cell]  2 Ag 2.72, 1 Ho 2.85, 2 Tb 2.86-2.94

## Properties
Energy = -4.83 eV per atom
M_tot = 0.0 μB per formula unit